(1)
# LiSb2 (PBE, optimized geometry)
data_LiSb2
_chemical_formula_sum 'Li2 Sb4'
_cell_length_a 4.352
_cell_length_b 5.312
_cell_length_c 8.199
_cell_angle_alpha 80.99
_cell_angle_beta 74.71
_cell_angle_gamma 65.96
_space_group_name_H-M_alt 'P -1'
_space_group_IT_number 2
loop_
_space_group_symop_operation_xyz
'x,y,z'
'-x,-y,-z'
loop_
_atom_site_label
_atom_site_fract_x
_atom_site_fract_y
_atom_site_fract_z
Li1 0.000 0.172 0.326
Sb1 0.175 0.251 0.898
Sb2 0.289 0.585 0.338
# relative energy among the computed polymorphs = 0.0301 eV per atom
# formation energy without anion corrections = -212 meV/atom

---

(2)
# KAcCuBi (PBE, optimized geometry)
data_KAcCuBi
_chemical_formula_sum 'K4 Ac4 Cu4 Bi4'
_cell_length_a 8.057
_cell_length_b 8.057
_cell_length_c 8.057
_cell_angle_alpha 90.00
_cell_angle_beta 90.00
_cell_angle_gamma 90.00
_space_group_name_H-M_alt 'F -4 3 m'
_space_group_IT_number 216
_space_group_name_Hall 'F -4 2 3'
loop_
_atom_site_label
_atom_site_fract_x
_atom_site_fract_y
_atom_site_fract_z
K1 0.000 0.000 0.000
Ac1 0.000 0.000 0.500
Cu1 0.250 0.250 0.250
Bi1 0.250 0.250 0.750
# calculated formation energy = -22 kJ per mole of atoms

---

(3)
# Ta2NiRh (PBE, optimized geometry)
data_Ta2NiRh
_chemical_formula_sum 'Ta2 Ni1 Rh1'
_cell_length_a 2.835
_cell_length_b 2.835
_cell_length_c 7.581
_cell_angle_alpha 90.00
_cell_angle_beta 90.00
_cell_angle_gamma 90.00
_space_group_name_H-M_alt 'P 4/m m m'
_space_group_IT_number 123
_space_group_name_Hall '-P 4 2'
loop_
_atom_site_label
_atom_site_fract_x
_atom_site_fract_y
_atom_site_fract_z
Ta1 0.000 0.000 0.241
Ni1 0.500 0.500 0.000
Rh1 0.500 0.500 0.500
# calculated formation energy = -28 kJ per mole of atoms

---

(4)
# Tm4AgPd7 (PBE, optimized geometry)
data_Tm4AgPd7
_chemical_formula_sum 'Tm8 Ag2 Pd14'
_cell_length_a 10.683
_cell_length_b 5.161
_cell_length_c 10.247
_cell_angle_alpha 90.00
_cell_angle_beta 119.46
_cell_angle_gamma 90.00
_space_group_name_H-M_alt 'C 1 2/m 1'
_space_group_IT_number 12
loop_
_space_group_symop_operation_xyz
'x,y,z'
'-x,-y,-z'
'-x,y,-z'
'x,-y,z'
'x+1/2,y+1/2,z'
'-x+1/2,-y+1/2,-z'
'-x+1/2,y+1/2,-z'
'x+1/2,-y+1/2,z'
loop_
_atom_site_label
_atom_site_fract_x
_atom_site_fract_y
_atom_site_fract_z
Tm1 0.096 0.000 0.289
Tm2 0.212 0.500 0.136
Ag1 0.000 0.500 0.500
Pd1 0.000 0.000 0.500
Pd2 0.076 0.500 0.814
Pd3 0.131 0.000 0.018
Pd4 0.209 0.500 0.405
# calculated formation energy = -60 kJ per mole of atoms
# relative energy among the computed polymorphs = 0.1398 eV per atom

---

(5)
# TbCeGaSn (PBE, optimized geometry)
data_TbCeGaSn
_chemical_formula_sum 'Tb4 Ce4 Ga4 Sn4'
_cell_length_a 7.468
_cell_length_b 7.468
_cell_length_c 7.468
_cell_angle_alpha 90.00
_cell_angle_beta 90.00
_cell_angle_gamma 90.00
_space_group_name_H-M_alt 'F -4 3 m'
_space_group_IT_number 216
_space_group_name_Hall 'F -4 2 3'
loop_
_atom_site_label
_atom_site_fract_x
_atom_site_fract_y
_atom_site_fract_z
Tb1 0.000 0.000 0.000
Ce1 0.000 0.000 0.500
Ga1 0.250 0.250 0.750
Sn1 0.250 0.250 0.250
# calculated formation energy = -50 kJ per mole of atoms
# relative energy among the computed polymorphs = 0.0000 eV per atom

---

(6)
# TePdSeN2 (PBE, optimized geometry)
data_TePdSeN2
_chemical_formula_sum 'Te1 Pd1 Se1 N2'
_cell_length_a 3.916
_cell_length_b 3.916
_cell_length_c 5.130
_cell_angle_alpha 90.00
_cell_angle_beta 90.00
_cell_angle_gamma 90.00
_space_group_name_H-M_alt 'P 4/m m m'
_space_group_IT_number 123
_space_group_name_Hall '-P 4 2'
loop_
_atom_site_label
_atom_site_fract_x
_atom_site_fract_y
_atom_site_fract_z
Te1 0.000 0.000 0.000
Pd1 0.500 0.500 0.000
Se1 0.500 0.500 0.500
N1 0.000 0.500 0.500
# relative energy among the computed polymorphs = 0.0600 eV per atom
# formation energy without anion corrections = 1437 meV/atom

---

(7)
# K2Hg2Se (PBE, optimized geometry)
data_K2Hg2Se
_chemical_formula_sum 'K4 Hg4 Se2'
_cell_length_a 8.328
_cell_length_b 8.328
_cell_length_c 5.704
_cell_angle_alpha 90.00
_cell_angle_beta 90.00
_cell_angle_gamma 90.00
_space_group_name_H-M_alt 'P 4/m b m'
_space_group_IT_number 127
_space_group_name_Hall '-P 4 2ab'
loop_
_atom_site_label
_atom_site_fract_x
_atom_site_fract_y
_atom_site_fract_z
K1 0.164 0.336 0.000
Hg1 0.148 0.648 0.500
Se1 0.000 0.000 0.000
# relative energy among the computed polymorphs = 0.0000 eV per atom
# formation energy without anion corrections = -443 meV/atom

---

(8)
# SrLaRu (PBE, optimized geometry)
data_SrLaRu
_chemical_formula_sum 'Sr1 La1 Ru1'
_cell_length_a 4.6262
_cell_length_b 4.6262
_cell_length_c 4.9434
_cell_angle_alpha 90.00
_cell_angle_beta 90.00
_cell_angle_gamma 120.00
_space_group_name_H-M_alt 'P -6 m 2'
_space_group_IT_number 187
_space_group_name_Hall 'P -6 2'
loop_
_atom_site_label
_atom_site_fract_x
_atom_site_fract_y
_atom_site_fract_z
Sr1 0.0000 0.0000 0.0000
La1 0.6667 0.3333 0.5000
Ru1 0.3333 0.6667 0.5000
# calculated formation energy = 11 kJ per mole of atoms
# relative energy among the computed polymorphs = 0.0918 eV per atom

---

(9)
# BeCdP (PBE, optimized geometry)
data_BeCdP
_chemical_formula_sum 'Be4 Cd4 P4'
_cell_length_a 3.647
_cell_length_b 4.743
_cell_length_c 11.576
_cell_angle_alpha 90.00
_cell_angle_beta 90.00
_cell_angle_gamma 90.00
_space_group_name_H-M_alt 'F m m 2'
_space_group_IT_number 42
_space_group_name_Hall 'F 2 -2'
loop_
_atom_site_label
_atom_site_fract_x
_atom_site_fract_y
_atom_site_fract_z
Be1 0.000 0.000 0.000
Cd1 0.000 0.000 0.324
P1 0.000 0.000 0.591
# calculated formation energy = 34 kJ per mole of atoms
# relative energy among the computed polymorphs = 0.3961 eV per atom

---

(10)
# Y5ErSc2 (PBE, optimized geometry)
data_Y5ErSc2
_chemical_formula_sum 'Y10 Er2 Sc4'
_cell_length_a 6.979
_cell_length_b 7.014
_cell_length_c 9.808
_cell_angle_alpha 90.00
_cell_angle_beta 90.00
_cell_angle_gamma 90.00
_space_group_name_H-M_alt 'I m m m'
_space_group_IT_number 71
_space_group_name_Hall '-I 2 2'
loop_
_atom_site_label
_atom_site_fract_x
_atom_site_fract_y
_atom_site_fract_z
Y1 0.000 0.000 0.000
Y2 0.250 0.250 0.250
Er1 0.000 0.500 0.000
Sc1 0.000 0.000 0.500
Sc2 0.000 0.500 0.500
# calculated formation energy = 5 kJ per mole of atoms
# relative energy among the computed polymorphs = 0.0000 eV per atom

---

(11)
# Ti2CuTc2 (PBE, optimized geometry)
data_Ti2CuTc2
_chemical_formula_sum 'Ti4 Cu2 Tc4'
_cell_length_a 3.479
_cell_length_b 3.479
_cell_length_c 13.956
_cell_angle_alpha 90.00
_cell_angle_beta 90.00
_cell_angle_gamma 90.00
_space_group_name_H-M_alt 'I 4/m m m'
_space_group_IT_number 139
_space_group_name_Hall '-I 4 2'
loop_
_atom_site_label
_atom_site_fract_x
_atom_site_fract_y
_atom_site_fract_z
Ti1 0.000 0.000 0.096
Cu1 0.000 0.000 0.500
Tc1 0.000 0.500 0.250
# calculated formation energy = 37 kJ per mole of atoms
# relative energy among the computed polymorphs = 0.3598 eV per atom

---

(12)
# MgAu4 (PBE, optimized geometry)
data_MgAu4
_chemical_formula_sum 'Mg2 Au8'
_cell_length_a 3.826
_cell_length_b 3.826
_cell_length_c 13.992
_cell_angle_alpha 90.00
_cell_angle_beta 90.00
_cell_angle_gamma 90.00
_space_group_name_H-M_alt 'I 4/m m m'
_space_group_IT_number 139
_space_group_name_Hall '-I 4 2'
loop_
_atom_site_label
_atom_site_fract_x
_atom_site_fract_y
_atom_site_fract_z
Mg1 0.000 0.000 0.000
Au1 0.000 0.000 0.405
Au2 0.000 0.500 0.250
# calculated formation energy = -14 kJ per mole of atoms

---

Number 1: uncorrected energy -3.598 eV/atom. Number 2: uncorrected energy -3.520 eV/atom. Number 3: uncorrected energy -9.504 eV/atom. Number 4: uncorrected energy -5.382 eV/atom. Number 5: uncorrected energy -4.918 eV/atom. Number 6: uncorrected energy -4.257 eV/atom. Number 7: uncorrected energy -1.700 eV/atom. Number 8: uncorrected energy -5.185 eV/atom. Number 9: uncorrected energy -3.000 eV/atom. Number 10: uncorrected energy -6.138 eV/atom. Number 11: uncorrected energy -7.742 eV/atom. Number 12: uncorrected energy -3.082 eV/atom.